Entry 1:
! PBE-GGA CsV3Zn, relaxed; values from VASP
! DOS(E_F): 0.447 states/eV/atom
! Total DFT energy (no corrections): -3.38 eV/atom
! Space group: Pm-3m (221)
! Energy of formation from the pure elements: 2520 meV/atom
&SYSTEM
  ibrav = 0, nat = 5, ntyp = 3
/
ATOMIC_SPECIES
Cs 132.91 Cs.upf
V 50.94 V.upf
Zn 65.41 Zn.upf
ATOMIC_POSITIONS crystal
Cs 0.000 0.000 0.000
V 0.000 0.000 0.500
V 0.000 0.500 0.000
V 0.500 0.000 0.000
Zn 0.500 0.500 0.500
CELL_PARAMETERS angstrom
4.735 0.000 0.000
0.000 4.735 0.000
0.000 0.000 4.735

---

Entry 2:
! PBE-GGA AcP2O8, relaxed; values from VASP
! DOS(E_F): 0.386 states/eV/atom
! Total DFT energy (no corrections): -6.95 eV/atom
! Space group: C2/m (12)
! Raw formation energy: -1.99 eV/atom
&SYSTEM
  ibrav = 0, nat = 11, ntyp = 3
/
ATOMIC_SPECIES
Ac 227.00 Ac.upf
P 30.97 P.upf
O 16.00 O.upf
ATOMIC_POSITIONS crystal
Ac 0.000 0.000 0.000
P 0.216 0.216 0.703
P 0.784 0.784 0.297
O 0.079 0.597 0.199
O 0.141 0.141 0.440
O 0.376 0.376 0.807
O 0.403 0.921 0.801
O 0.597 0.079 0.199
O 0.624 0.624 0.193
O 0.859 0.859 0.560
O 0.921 0.403 0.801
CELL_PARAMETERS angstrom
5.284 -2.497 0.000
5.284 2.497 0.000
-2.795 0.000 5.769

---

Entry 3:
! PBE-GGA Y2ReBr, relaxed; values from VASP
! DOS(E_F): 0.812 states/eV/atom
! Total DFT energy (no corrections): -6.66 eV/atom
! Space group: Fm-3m (225)
! Raw formation energy: 0.11 eV/atom
&SYSTEM
  ibrav = 0, nat = 4, ntyp = 3
/
ATOMIC_SPECIES
Y 88.91 Y.upf
Re 186.21 Re.upf
Br 79.90 Br.upf
ATOMIC_POSITIONS crystal
Y 0.250 0.250 0.250
Y 0.750 0.750 0.750
Re 0.000 0.000 0.000
Br 0.500 0.500 0.500
CELL_PARAMETERS angstrom
0.000 3.573 3.573
3.573 0.000 3.573
3.573 3.573 0.000

---

Entry 4:
! PBE-GGA LiTaAs2, relaxed; values from VASP
! DOS(E_F): 0.611 states/eV/atom
! Total DFT energy (no corrections): -5.72 eV/atom
! Space group: Cmm2 (35)
! Energy of formation from the pure elements: 49 meV/atom
&SYSTEM
  ibrav = 0, nat = 4, ntyp = 3
/
ATOMIC_SPECIES
Li 6.94 Li.upf
Ta 180.95 Ta.upf
As 74.92 As.upf
ATOMIC_POSITIONS crystal
Li 0.000 0.000 0.000
Ta 0.500 0.500 0.763
As 0.000 0.000 0.560
As 0.500 0.500 0.194
CELL_PARAMETERS angstrom
1.752 -2.181 0.000
1.752 2.181 0.000
0.000 0.000 10.215

---

Entry 5:
! PBE-GGA MgNbOsS2, relaxed; values from VASP
! DOS(E_F): 1.153 states/eV/atom
! Total DFT energy (no corrections): -5.55 eV/atom
! Space group: P4/mmm (123)
! Raw formation energy: 0.68 eV/atom
&SYSTEM
  ibrav = 0, nat = 5, ntyp = 4
/
ATOMIC_SPECIES
Mg 24.30 Mg.upf
Nb 92.91 Nb.upf
Os 190.23 Os.upf
S 32.06 S.upf
ATOMIC_POSITIONS crystal
Mg 0.000 0.000 0.000
Nb 0.500 0.500 0.000
Os 0.500 0.500 0.500
S 0.000 0.500 0.500
S 0.500 0.000 0.500
CELL_PARAMETERS angstrom
4.591 0.000 0.000
0.000 4.591 0.000
0.000 0.000 5.057

---

Entry 6:
! PBE-GGA UCdHg2Se6, relaxed; values from VASP
! DOS(E_F): 0.010 states/eV/atom
! Total DFT energy (no corrections): -3.82 eV/atom
! Space group: R-3 (148)
! Raw formation energy: -0.45 eV/atom
&SYSTEM
  ibrav = 0, nat = 10, ntyp = 4
/
ATOMIC_SPECIES
U 238.03 U.upf
Cd 112.41 Cd.upf
Hg 200.59 Hg.upf
Se 78.96 Se.upf
ATOMIC_POSITIONS crystal
U 0.000 0.000 0.000
Cd 0.500 0.500 0.500
Hg 0.185 0.185 0.185
Hg 0.815 0.815 0.815
Se 0.095 0.753 0.392
Se 0.247 0.608 0.905
Se 0.392 0.095 0.753
Se 0.608 0.905 0.247
Se 0.753 0.392 0.095
Se 0.905 0.247 0.608
CELL_PARAMETERS angstrom
3.530 2.038 6.255
-3.530 2.038 6.255
0.000 -4.076 6.255

---

Entry 7:
! PBE-GGA NdDy2Ag2Sn2, relaxed; values from VASP
! DOS(E_F): 0.472 states/eV/atom
! Total DFT energy (no corrections): -4.40 eV/atom
! Space group: R-3m (166)
! Energy of formation from the pure elements: -441 meV/atom
&SYSTEM
  ibrav = 0, nat = 7, ntyp = 4
/
ATOMIC_SPECIES
Nd 144.24 Nd.upf
Dy 162.50 Dy.upf
Ag 107.87 Ag.upf
Sn 118.71 Sn.upf
ATOMIC_POSITIONS crystal
Nd 0.000 0.000 0.000
Dy 0.135 0.135 0.135
Dy 0.865 0.865 0.865
Ag 0.439 0.439 0.439
Ag 0.561 0.561 0.561
Sn 0.263 0.263 0.263
Sn 0.737 0.737 0.737
CELL_PARAMETERS angstrom
2.442 1.410 8.720
-2.442 1.410 8.720
0.000 -2.820 8.720